VASP calculation (PBE) on crystalline AlPd5Pb at its relaxed geometry.

Properties
calculated volume	502.7	Å³ per cell
ρ	10.12	Mg/m³
formation energy	-0.2998	eV/atom
E_tot	-5.07	eV/atom

Cell lengths 9.7006, 5.7967, 9.2577 Å; angles 90.00, 105.05, 90.00 degrees
Space group C2/c (No. 15)
Asymmetric unit:
Al  0.2500  0.2500  0.0000 [4 per cell]
Pd  0.0000  0.1614  0.7500 [4 per cell]
Pd  0.1232  0.1205  0.5028 [8 per cell]
Pd  0.2467  0.4089  0.7339 [8 per cell]
Pb  0.0000  0.3638  0.2500 [4 per cell]

VASP calculation (PBE) on crystalline AlPd6Pb at its relaxed geometry.

Properties
calculated volume	129.2	Å³ per cell
ρ	11.22	Mg/m³
formation energy	-0.4419	eV/atom
E_tot	-5.27	eV/atom

Cell lengths 4.0179, 4.0179, 8.0028 Å; angles 90.00, 90.00, 90.00 degrees
Space group P4/mmm (No. 123)
Asymmetric unit:
Al  0.0000  0.0000  0.0000 [1 per cell]
Pd  0.0000  0.5000  0.2330 [4 per cell]
Pd  0.5000  0.5000  0.0000 [1 per cell]
Pd  0.5000  0.5000  0.5000 [1 per cell]
Pb  0.0000  0.0000  0.5000 [1 per cell]

VASP calculation (PBE) on crystalline Al2PdPb2 at its relaxed geometry.

Properties
calculated volume	226.2	Å³ per cell
ρ	8.44	Mg/m³
formation energy	-0.0551	eV/atom
E_tot	-4.07	eV/atom

Cell lengths 6.7186, 6.7186, 5.0109 Å; angles 90.00, 90.00, 90.00 degrees
Space group P4/mbm (No. 127)
Asymmetric unit:
Al  0.1440  0.3560  0.0000 [4 per cell]
Pd  0.0000  0.0000  0.0000 [2 per cell]
Pb  0.1758  0.6758  0.5000 [4 per cell]